DFT (PBE) results for crystalline SmYErLu at its relaxed geometry.

Cell lengths 7.990, 7.990, 7.990 Å; angles 90.00, 90.00, 90.00 degrees
Space group F-43m (No. 216)
Symmetry-distinct sites (fractional):
1 Sm 0.000 0.000 0.000 x4
2 Y 0.000 0.000 0.500 x4
3 Er 0.250 0.250 0.750 x4
4 Lu 0.250 0.250 0.250 x4

As for the energy of formation from the pure elements: 0.12 eV per atom. The uncorrected energy is -0.3638 Ry/atom.